(1)
First-principles (GGA-PBE) data for a relaxed structure of RbZrSb2As, as listed in the Alexandria database.

mass density	4.7	g/cm3
symmetry	P4/mmm (123)
raw total energy	-12.74	eV for the cell shown
M_tot	0.000	μB/f.u.

Unit cell a=5.8222 b=5.8222 c=5.1962 alpha=90.00 beta=90.00 gamma=90.00
With the nearest neighbours (Å) after each atom.
Atoms (fractional coordinates):
Rb 0.0000 0.0000 0.0000  2 Zr 2.60
Zr 0.0000 0.0000 0.5000  2 Rb 2.60
Sb 0.0000 0.5000 0.0000  2 Rb 2.91
Sb 0.5000 0.0000 0.0000  2 Rb 2.91
As 0.5000 0.5000 0.5000  8 Sb 3.90, 4 Zr 4.12

=====

(2)
First-principles (GGA-PBE) data for a relaxed structure of RbSc3As, as listed in the Alexandria database.

mass density	3.2	g/cm3
symmetry	Pm-3m (221)
raw total energy	-24.16	eV for the cell shown
offset from the most stable computed form	0	kJ/mol of formula units
M_tot	3.585	μB/f.u.
DFT formation energy	2.07	kcal/mol of atoms

Unit cell a=5.3526 b=5.3526 c=5.3526 alpha=90.00 beta=90.00 gamma=90.00
With the nearest neighbours (Å) after each atom.
Atoms (fractional coordinates):
Rb 0.0000 0.0000 0.0000  12 Sc 3.78
Sc 0.0000 0.5000 0.5000  2 As 2.68
Sc 0.5000 0.0000 0.5000  2 As 2.68
Sc 0.5000 0.5000 0.0000  2 As 2.68
As 0.5000 0.5000 0.5000  6 Sc 2.68

=====

(3)
First-principles (GGA-PBE) data for a relaxed structure of RbSc2As, as listed in the Alexandria database.

mass density	3.2	g/cm3
symmetry	R-3m (166)
raw total energy	-19.49	eV for the cell shown
M_tot	0.000	μB/f.u.
DFT formation energy	-6.95	kcal/mol of atoms

Unit cell a=10.7534 b=10.7534 c=10.7534 alpha=20.30 beta=20.30 gamma=20.30
With the nearest neighbours (Å) after each atom.
Atoms (fractional coordinates):
Rb 0.0000 0.0000 0.0000  2 Sc 3.76, 6 Rb 3.79
Sc 0.1189 0.1189 0.1189  3 As 2.66
Sc 0.8811 0.8811 0.8811  3 As 2.66
As 0.5000 0.5000 0.5000  6 Sc 2.66

=====

(4)
First-principles (GGA-PBE) data for a relaxed structure of RbScAs, as listed in the Alexandria database.

mass density	4.0	g/cm3
symmetry	P-62m (189)
raw total energy	-38.83	eV for the cell shown
M_tot	0.409	μB/f.u.
DFT formation energy	-7.64	kcal/mol of atoms

Unit cell a=7.3135 b=7.3135 c=5.5126 alpha=90.00 beta=90.00 gamma=120.00
With the nearest neighbours (Å) after each atom.
Atoms (fractional coordinates):
Rb 0.0000 0.4560 0.0000  5 As 3.33-3.49, 2 Sc 3.50, 4 Rb 3.70
Rb 0.4560 0.0000 0.0000  5 As 3.33-3.49, 2 Sc 3.50, 4 Rb 3.70
Rb 0.5440 0.5440 0.0000  5 As 3.33-3.49, 2 Sc 3.50, 4 Rb 3.70
Sc 0.0000 0.7520 0.5000  2 As 2.80
Sc 0.2480 0.2480 0.5000  2 As 2.80
Sc 0.7520 0.0000 0.5000  2 As 2.80
As 0.0000 0.0000 0.0000  6 Sc 3.30, 3 Rb 3.33
As 0.3333 0.6667 0.5000  3 Sc 2.80
As 0.6667 0.3333 0.5000  3 Sc 2.80

=====

(5)
First-principles (GGA-PBE) data for a relaxed structure of RbSc3As, as listed in the Alexandria database.

mass density	3.9	g/cm3
symmetry	Pm-3m (221)
raw total energy	-17.22	eV for the cell shown
offset from the most stable computed form	670	kJ/mol of formula units
M_tot	0.000	μB/f.u.
DFT formation energy	34.11	kcal/mol of atoms

Unit cell a=5.0084 b=5.0084 c=5.0084 alpha=90.00 beta=90.00 gamma=90.00
With the nearest neighbours (Å) after each atom.
Atoms (fractional coordinates):
Rb 0.0000 0.0000 0.0000  6 Sc 2.50
Sc 0.0000 0.0000 0.5000  2 Rb 2.50
Sc 0.0000 0.5000 0.0000  2 Rb 2.50
Sc 0.5000 0.0000 0.0000  2 Rb 2.50
As 0.5000 0.5000 0.5000  12 Sc 3.54

=====

(6)
First-principles (GGA-PBE) data for a relaxed structure of RbSc2As2, as listed in the Alexandria database.

mass density	3.5	g/cm3
symmetry	I4/mmm (139)
raw total energy	-27.53	eV for the cell shown
offset from the most stable computed form	0	kJ/mol of formula units
M_tot	0.841	μB/f.u.
DFT formation energy	-21.21	kcal/mol of atoms

Unit cell a=7.8604 b=7.8604 c=7.8604 alpha=145.39 beta=145.39 gamma=49.75
With the nearest neighbours (Å) after each atom.
Atoms (fractional coordinates):
Rb 0.0000 0.0000 0.0000  8 As 3.99, 8 Sc 4.26
Sc 0.2500 0.7500 0.5000  4 As 2.69
Sc 0.7500 0.2500 0.5000  4 As 2.69
As 0.3434 0.3434 0.0000  4 Sc 2.69
As 0.6566 0.6566 0.0000  4 Sc 2.69

=====

(7)
First-principles (GGA-PBE) data for a relaxed structure of Rb2ScAs2, as listed in the Alexandria database.

mass density	4.0	g/cm3
symmetry	P4/mbm (127)
raw total energy	-39.08	eV for the cell shown
M_tot	0.912	μB/f.u.
DFT formation energy	-9.10	kcal/mol of atoms

Unit cell a=7.1767 b=7.1767 c=5.9517 alpha=90.00 beta=90.00 gamma=90.00
With the nearest neighbours (Å) after each atom.
Atoms (fractional coordinates):
Rb 0.1714 0.3286 0.0000  5 Rb 3.48-3.76, 6 As 3.62-3.68
Rb 0.3286 0.8286 0.0000  5 Rb 3.48-3.76, 6 As 3.62-3.68
Rb 0.6714 0.1714 0.0000  5 Rb 3.48-3.76, 6 As 3.62-3.68
Rb 0.8286 0.6714 0.0000  5 Rb 3.48-3.76, 6 As 3.62-3.68
Sc 0.0000 0.0000 0.5000  4 As 2.83
Sc 0.5000 0.5000 0.5000  4 As 2.83
As 0.1262 0.6262 0.5000  1 As 2.56, 2 Sc 2.83
As 0.3738 0.1262 0.5000  1 As 2.56, 2 Sc 2.83
As 0.6262 0.8738 0.5000  1 As 2.56, 2 Sc 2.83
As 0.8738 0.3738 0.5000  1 As 2.56, 2 Sc 2.83

=====

(8)
First-principles (GGA-PBE) data for a relaxed structure of Rb3ScAs2, as listed in the Alexandria database.

mass density	3.0	g/cm3
symmetry	C2/m (12)
raw total energy	-43.30	eV for the cell shown
M_tot	0.000	μB/f.u.
DFT formation energy	-11.97	kcal/mol of atoms

Unit cell a=9.7392 b=9.7392 c=12.0515 alpha=113.48 beta=113.48 gamma=28.64
With the nearest neighbours (Å) after each atom.
Atoms (fractional coordinates):
Rb 0.0582 0.0582 0.2385  3 As 3.33-3.34
Rb 0.2181 0.2181 0.6004  3 As 3.37-3.39
Rb 0.3288 0.3288 0.9909  3 As 3.45-3.63
Rb 0.6712 0.6712 0.0091  3 As 3.45-3.63
Rb 0.7819 0.7819 0.3996  3 As 3.37-3.39
Rb 0.9418 0.9418 0.7615  3 As 3.33-3.34
Sc 0.4337 0.4337 0.3499  4 As 2.67-2.86
Sc 0.5663 0.5663 0.6501  4 As 2.67-2.86
As 0.1242 0.1242 0.7852  2 Sc 2.86
As 0.4111 0.4111 0.5542  2 Sc 2.67
As 0.5889 0.5889 0.4458  2 Sc 2.67
As 0.8758 0.8758 0.2148  2 Sc 2.86